1.
Here is a relaxed Na4La3SnO8 crystal from the Alexandria database. Energies are from GGA-PBE.

Results
ΔE_f (raw) = -2.31 eV per atom
E_tot = -6.29 eV/atom
Total magnetization = 0.000 μB per formula unit
N(E_F) = 5.685 states/eV/cell

Structure (CIF):
```
data_Na4La3SnO8
_symmetry_space_group_name_H-M 'R -3 m'
_symmetry_Int_Tables_number 166
_symmetry_space_group_name_Hall '-R 3 2"'
_cell_length_a 7.2123
_cell_length_b 7.2123
_cell_length_c 16.9413
_cell_angle_alpha 90.00
_cell_angle_beta 90.00
_cell_angle_gamma 120.00
loop_
_atom_site_label
_atom_site_type_symbol
_atom_site_fract_x
_atom_site_fract_y
_atom_site_fract_z
Na1 Na 0.0000 0.0000 0.0000
Na2 Na 0.0000 0.5000 0.0000
La1 La 0.0000 0.5000 0.5000
Sn1 Sn 0.0000 0.0000 0.5000
O1 O 0.0000 0.0000 0.2381
O2 O 0.0128 0.5064 0.2392
```

=====

2.
Here is a relaxed Ca2InHg2 crystal from the Alexandria database. Energies are from GGA-PBE.

Results
E above lowest polymorph = 0.128 eV per atom
E_tot = -1.80 eV/atom
Total magnetization = 0.000 μB per formula unit
ΔH_f (0 K) = -0.3344 eV/atom
N(E_F) = 6.955 states/eV/cell

Structure (CIF):
```
data_Ca2InHg2
_symmetry_space_group_name_H-M 'P 4/m b m'
_symmetry_Int_Tables_number 127
_symmetry_space_group_name_Hall '-P 4 2ab'
_cell_length_a 8.7442
_cell_length_b 8.7442
_cell_length_c 3.8018
_cell_angle_alpha 90.00
_cell_angle_beta 90.00
_cell_angle_gamma 90.00
loop_
_atom_site_label
_atom_site_type_symbol
_atom_site_fract_x
_atom_site_fract_y
_atom_site_fract_z
Ca1 Ca 0.1527 0.3473 0.0000
In1 In 0.0000 0.0000 0.0000
Hg1 Hg 0.1430 0.6430 0.5000
```

=====

3.
Here is a relaxed NaPmSn6 crystal from the Alexandria database. Energies are from GGA-PBE.

Results
E_tot = -4.06 eV/atom
Total magnetization = 0.000 μB per formula unit
ΔH_f (0 K) = -0.3017 eV/atom
N(E_F) = 2.991 states/eV/cell

Structure (CIF):
```
data_NaPmSn6
_symmetry_space_group_name_H-M 'P 4/m m m'
_symmetry_Int_Tables_number 123
_symmetry_space_group_name_Hall '-P 4 2'
_cell_length_a 4.7076
_cell_length_b 4.7076
_cell_length_c 9.6319
_cell_angle_alpha 90.00
_cell_angle_beta 90.00
_cell_angle_gamma 90.00
loop_
_atom_site_label
_atom_site_type_symbol
_atom_site_fract_x
_atom_site_fract_y
_atom_site_fract_z
Na1 Na 0.0000 0.0000 0.0000
Pm1 Pm 0.0000 0.0000 0.5000
Sn1 Sn 0.0000 0.5000 0.2453
Sn2 Sn 0.5000 0.5000 0.0000
Sn3 Sn 0.5000 0.5000 0.5000
```

=====

4.
Here is a relaxed CaZnAg3 crystal from the Alexandria database. Energies are from GGA-PBE.

Results
E above lowest polymorph = 0.035 eV per atom
E_tot = -2.50 eV/atom
Total magnetization = 0.000 μB per formula unit
ΔH_f (0 K) = -0.1299 eV/atom
N(E_F) = 3.357 states/eV/cell

Structure (CIF):
```
data_CaZnAg3
_symmetry_space_group_name_H-M 'P 1 21/m 1'
_symmetry_Int_Tables_number 11
_cell_length_a 4.9145
_cell_length_b 5.8564
_cell_length_c 7.5494
_cell_angle_alpha 90.00
_cell_angle_beta 108.78
_cell_angle_gamma 90.00
loop_
_symmetry_equiv_pos_as_xyz
'x,y,z'
'-x,-y,-z'
'-x,y+1/2,-z'
'x,-y+1/2,z'
loop_
_atom_site_label
_atom_site_type_symbol
_atom_site_fract_x
_atom_site_fract_y
_atom_site_fract_z
Ca1 Ca 0.0955 0.2500 0.1884
Zn1 Zn 0.4679 0.2500 0.9301
Ag1 Ag 0.1313 0.7500 0.2652
Ag2 Ag 0.3073 0.5012 0.6142
```

=====

5.
Here is a relaxed LiInNi2 crystal from the Alexandria database. Energies are from GGA-PBE.

Results
E_tot = -3.84 eV/atom
Total magnetization = 0.000 μB per formula unit
ΔH_f (0 K) = 0.2134 eV/atom
N(E_F) = 4.399 states/eV/cell

Structure (CIF):
```
data_LiInNi2
_symmetry_space_group_name_H-M 'R -3 m'
_symmetry_Int_Tables_number 166
_symmetry_space_group_name_Hall '-R 3 2"'
_cell_length_a 2.8794
_cell_length_b 2.8794
_cell_length_c 24.7790
_cell_angle_alpha 90.00
_cell_angle_beta 90.00
_cell_angle_gamma 120.00
loop_
_atom_site_label
_atom_site_type_symbol
_atom_site_fract_x
_atom_site_fract_y
_atom_site_fract_z
Li1 Li 0.0000 0.0000 0.0000
In1 In 0.0000 0.0000 0.5000
Ni1 Ni 0.0000 0.0000 0.2514
```

=====

6.
Here is a relaxed K2BaMo crystal from the Alexandria database. Energies are from GGA-PBE.

Results
E above lowest polymorph = 0.091 eV per atom
E_tot = -2.66 eV/atom
Total magnetization = 3.672 μB per formula unit
ΔH_f (0 K) = 1.0729 eV/atom
N(E_F) = 7.838 states/eV/cell

Structure (CIF):
```
data_K2BaMo
_symmetry_space_group_name_H-M 'C 1 m 1'
_symmetry_Int_Tables_number 8
_cell_length_a 8.4460
_cell_length_b 3.8368
_cell_length_c 12.5332
_cell_angle_alpha 90.00
_cell_angle_beta 94.43
_cell_angle_gamma 90.00
loop_
_symmetry_equiv_pos_as_xyz
'x,y,z'
'x,-y,z'
'x+1/2,y+1/2,z'
'x+1/2,-y+1/2,z'
loop_
_atom_site_label
_atom_site_type_symbol
_atom_site_fract_x
_atom_site_fract_y
_atom_site_fract_z
K1 K 0.0000 0.0000 0.0000
K2 K 0.2319 0.0000 0.6792
Ba1 Ba 0.2669 0.5000 0.3124
Mo1 Mo 0.4981 0.0000 0.4793
```

=====

7.
Here is a relaxed KZrF5 crystal from the Alexandria database. Energies are from GGA-PBE.

Results
E above lowest polymorph = 0.013 eV per atom
ΔE_f (raw) = -3.49 eV per atom
E_tot = -6.21 eV/atom
Total magnetization = 0.000 μB per formula unit
N(E_F) = 0.000 states/eV/cell

Structure (CIF):
```
data_KZrF5
_symmetry_space_group_name_H-M 'I m m m'
_symmetry_Int_Tables_number 71
_symmetry_space_group_name_Hall '-I 2 2'
_cell_length_a 4.2406
_cell_length_b 7.5510
_cell_length_c 9.2228
_cell_angle_alpha 90.00
_cell_angle_beta 90.00
_cell_angle_gamma 90.00
loop_
_atom_site_label
_atom_site_type_symbol
_atom_site_fract_x
_atom_site_fract_y
_atom_site_fract_z
K1 K 0.0000 0.0000 0.0000
Zr1 Zr 0.0000 0.0000 0.5000
F1 F 0.0000 0.0000 0.2830
F2 F 0.0000 0.2681 0.5000
F3 F 0.0000 0.5000 0.0000
```

=====

8.
Here is a relaxed NbCrSiTc crystal from the Alexandria database. Energies are from GGA-PBE.

Results
ΔE_f (raw) = -0.28 eV per atom
E_tot = -9.15 eV/atom
Total magnetization = 2.011 μB per formula unit
N(E_F) = 11.396 states/eV/cell

Structure (CIF):
```
data_NbCrSiTc
_symmetry_space_group_name_H-M 'F -4 3 m'
_symmetry_Int_Tables_number 216
_symmetry_space_group_name_Hall 'F -4 2 3'
_cell_length_a 6.1142
_cell_length_b 6.1142
_cell_length_c 6.1142
_cell_angle_alpha 90.00
_cell_angle_beta 90.00
_cell_angle_gamma 90.00
loop_
_atom_site_label
_atom_site_type_symbol
_atom_site_fract_x
_atom_site_fract_y
_atom_site_fract_z
Nb1 Nb 0.0000 0.0000 0.0000
Cr1 Cr 0.2500 0.2500 0.2500
Si1 Si 0.0000 0.0000 0.5000
Tc1 Tc 0.2500 0.2500 0.7500
```

=====

9.
Here is a relaxed AcSm2SiN4 crystal from the Alexandria database. Energies are from GGA-PBE.

Results
ΔE_f (raw) = -1.22 eV per atom
E_tot = -7.75 eV/atom
Total magnetization = 0.000 μB per formula unit
N(E_F) = 5.570 states/eV/cell

Structure (CIF):
```
data_AcSm2SiN4
_symmetry_space_group_name_H-M 'C m c m'
_symmetry_Int_Tables_number 63
_symmetry_space_group_name_Hall '-C 2c 2'
_cell_length_a 3.5329
_cell_length_b 11.9453
_cell_length_c 11.8806
_cell_angle_alpha 90.00
_cell_angle_beta 90.00
_cell_angle_gamma 90.00
loop_
_atom_site_label
_atom_site_type_symbol
_atom_site_fract_x
_atom_site_fract_y
_atom_site_fract_z
Ac1 Ac 0.0000 0.0880 0.2500
Sm1 Sm 0.0000 0.3680 0.0430
Si1 Si 0.0000 0.1806 0.7500
N1 N 0.0000 0.0000 0.0000
N2 N 0.0000 0.2672 0.6319
N3 N 0.0000 0.3982 0.2500
```

=====

10.
Here is a relaxed PaNbCoN3 crystal from the Alexandria database. Energies are from GGA-PBE.

Results
ΔE_f (raw) = -0.97 eV per atom
E_tot = -9.58 eV/atom
Total magnetization = 0.000 μB per formula unit
N(E_F) = 2.629 states/eV/cell

Structure (CIF):
```
data_PaNbCoN3
_symmetry_space_group_name_H-M 'P 1 21/m 1'
_symmetry_Int_Tables_number 11
_cell_length_a 6.6090
_cell_length_b 3.2259
_cell_length_c 7.0137
_cell_angle_alpha 90.00
_cell_angle_beta 103.28
_cell_angle_gamma 90.00
loop_
_symmetry_equiv_pos_as_xyz
'x,y,z'
'-x,-y,-z'
'-x,y+1/2,-z'
'x,-y+1/2,z'
loop_
_atom_site_label
_atom_site_type_symbol
_atom_site_fract_x
_atom_site_fract_y
_atom_site_fract_z
Pa1 Pa 0.1864 0.2500 0.2193
Nb1 Nb 0.3314 0.7500 0.8331
Co1 Co 0.1164 0.2500 0.5902
N1 N 0.1087 0.2500 0.8718
N2 N 0.2200 0.7500 0.5011
N3 N 0.4260 0.7500 0.1538
```

=====

11.
Here is a relaxed Ca2PuGa3Au12 crystal from the Alexandria database. Energies are from GGA-PBE.

Results
E_tot = -3.93 eV/atom
Total magnetization = 5.377 μB per formula unit
ΔH_f (0 K) = -0.2192 eV/atom
N(E_F) = 61.244 states/eV/cell

Structure (CIF):
```
data_Ca2PuGa3Au12
_symmetry_space_group_name_H-M 'R -3 m'
_symmetry_Int_Tables_number 166
_symmetry_space_group_name_Hall '-R 3 2"'
_cell_length_a 7.0007
_cell_length_b 7.0007
_cell_length_c 29.4273
_cell_angle_alpha 90.00
_cell_angle_beta 90.00
_cell_angle_gamma 120.00
loop_
_atom_site_label
_atom_site_type_symbol
_atom_site_fract_x
_atom_site_fract_y
_atom_site_fract_z
Ca1 Ca 0.0000 0.0000 0.1369
Pu1 Pu 0.0000 0.0000 0.5000
Ga1 Ga 0.0000 0.5000 0.0000
Au1 Au 0.0532 0.5266 0.8914
Au2 Au 0.0645 0.5322 0.6224
```

=====

12.
Here is a relaxed KBiTeSe crystal from the Alexandria database. Energies are from GGA-PBE.

Results
ΔE_f (raw) = -0.69 eV per atom
E_tot = -3.59 eV/atom
Total magnetization = 0.000 μB per formula unit

Structure (CIF):
```
data_KBiTeSe
_symmetry_space_group_name_H-M 'R 3 m'
_symmetry_Int_Tables_number 160
_symmetry_space_group_name_Hall 'R 3 -2"'
_cell_length_a 4.4135
_cell_length_b 4.4135
_cell_length_c 24.6863
_cell_angle_alpha 90.00
_cell_angle_beta 90.00
_cell_angle_gamma 120.00
loop_
_atom_site_label
_atom_site_type_symbol
_atom_site_fract_x
_atom_site_fract_y
_atom_site_fract_z
K1 K 0.0000 0.0000 0.0000
Bi1 Bi 0.0000 0.0000 0.1569
Te1 Te 0.0000 0.0000 0.5647
Se1 Se 0.0000 0.0000 0.7574
```

=====

Q: Which value of total magnetization does entry 5 give?
A: 0.000 μB per formula unit

=====

Q: Look up the total magnetization of the seventh one.
A: 0.000 μB per formula unit